VZnPd2: optimized geometry, PBE.

abc: 2.777 2.777 7.441
angles: 90.00 90.00 90.00
Element x y z (fractional)
V 0.500 0.500 0.500
Zn 0.500 0.500 0.000
Pd 0.000 0.000 0.750
Pd 0.000 0.000 0.250

Energy relative to the elements ... -0.366 eV/atom
Space group ... P4/mmm, No. 123

---

MgTaTeO6: optimized geometry, PBE.

abc: 5.324 5.324 9.148
angles: 90.00 90.00 120.00
Element x y z (fractional)
O 0.993 0.345 0.632
O 0.345 0.353 0.368
O 0.007 0.655 0.368
O 0.353 0.007 0.632
O 0.647 0.993 0.368
O 0.353 0.345 0.868
O 0.655 0.647 0.632
O 0.007 0.353 0.132
O 0.655 0.007 0.868
O 0.647 0.655 0.132
O 0.345 0.993 0.132
O 0.993 0.647 0.868
Ta 0.333 0.667 0.250
Ta 0.667 0.333 0.750
Te 0.333 0.667 0.750
Te 0.667 0.333 0.250
Mg 0.000 0.000 0.000
Mg 0.000 0.000 0.500

Formation energy without anion corrections ... -1706 kJ/mol of formula units
Space group ... P-31c, No. 163

---

Computed values of total magnetization (unit: μB/f.u.) for the preceding records, in sequence: 0.00; 0.61.
Computed values of electronic total energy (unit: eV per cell) for the preceding records, in sequence: -22.24; -128.05.
Computed values of density (unit: g/cm³) for the preceding records, in sequence: 9.5; 6.3.